## NiH2F5 (PBE+U)

Data for a relaxed structure of NiH2F5.

Results
Calculated total energy (eV per atom): -3.898
Symmetry: No. 8
Theoretical density (g/cm³): 2.9

Lattice parameters (Å, degrees): 5.076 5.076 3.802 105.08 105.08 93.62
Positions (direct):
Ni  0.000  0.000  0.000
H  0.275  0.560  0.093
H  0.560  0.275  0.093
F  0.031  0.031  0.510
F  0.281  0.739  0.019
F  0.310  0.310  0.170
F  0.727  0.727  0.757
F  0.739  0.281  0.019